[1]
A relaxed structure of Ac2Al4AgPd3, computed with PBE.

Results
Calculated volume: 21.33 Å³/atom
Calculated formation energy: -0.7008 eV per atom
Total energy: -48.6 eV per cell
Total magnetization: 0.0 μB/f.u.

abc: 4.518 4.518 10.451
angles: 90.00 90.00 90.00
Space group P-4m2 (No. 115)
One atom of each set of equivalent atoms:
1 Ac 0.000 0.500 0.248 (multiplicity 2)
2 Al 0.000 0.000 0.000 (multiplicity 1)
3 Al 0.000 0.500 0.625 (multiplicity 2)
4 Al 0.500 0.500 0.000 (multiplicity 1)
5 Ag 0.000 0.000 0.500 (multiplicity 1)
6 Pd 0.000 0.500 0.873 (multiplicity 2)
7 Pd 0.500 0.500 0.500 (multiplicity 1)

***

[2]
A relaxed structure of AcAl2AgPd, computed with PBE.

Results
Calculated volume: 22.08 Å³/atom
Calculated formation energy: -0.5119 eV per atom
Total energy: -44.4 eV per cell
Total magnetization: 0.0 μB/f.u.

abc: 4.262 4.586 11.295
angles: 90.00 90.00 90.00
Space group Imm2 (No. 44)
One atom of each set of equivalent atoms:
1 Ac 0.000 0.000 0.000 (multiplicity 2)
2 Al 0.000 0.000 0.383 (multiplicity 2)
3 Al 0.000 0.500 0.242 (multiplicity 2)
4 Ag 0.000 0.500 0.753 (multiplicity 2)
5 Pd 0.000 0.000 0.606 (multiplicity 2)

***

[3]
A relaxed structure of Ac3Al2AgPd9, computed with PBE.

Results
Calculated volume: 22.60 Å³/atom
Calculated formation energy: -0.6016 eV per atom
Total energy: -78.4 eV per cell
Total magnetization: 0.0 μB/f.u.

abc: 5.9262 5.9262 11.1466
angles: 90.00 90.00 120.00
Space group P-3m1 (No. 164)
One atom of each set of equivalent atoms:
1 Ac 0.0000 0.0000 0.0000 (multiplicity 1)
2 Ac 0.3333 0.6667 0.6256 (multiplicity 2)
3 Al 0.3333 0.6667 0.1601 (multiplicity 2)
4 Ag 0.0000 0.0000 0.5000 (multiplicity 1)
5 Pd 0.0000 0.5000 0.0000 (multiplicity 3)
6 Pd 0.1619 0.3238 0.3081 (multiplicity 6)

***

[4]
A relaxed structure of Ac2Al3AgPd12, computed with PBE.

Results
Calculated volume: 20.86 Å³/atom
Calculated formation energy: -0.3124 eV per atom
Total energy: -270.7 eV per cell
Total magnetization: 0.0 μB/f.u.

abc: 8.5250 8.5250 17.8949
angles: 90.00 90.00 120.00
Space group R-3m (No. 166, hexagonal axes)
One atom of each set of equivalent atoms:
1 Ac 0.0000 0.0000 0.1122 (multiplicity 6)
2 Al 0.0000 0.5000 0.0000 (multiplicity 9)
3 Ag 0.0000 0.0000 0.5000 (multiplicity 3)
4 Pd 0.0160 0.5080 0.8664 (multiplicity 18)
5 Pd 0.0235 0.5118 0.3726 (multiplicity 18)

***

[5]
A relaxed structure of AcAlAgPd3, computed with PBE.

Results
Calculated volume: 22.01 Å³/atom
Calculated formation energy: -0.4507 eV per atom
Total energy: -115.9 eV per cell
Total magnetization: 0.0 μB/f.u.

abc: 6.949 11.961 6.357
angles: 90.00 90.00 90.00
Space group Cmcm (No. 63)
One atom of each set of equivalent atoms:
1 Ac 0.000 0.199 0.250 (multiplicity 4)
2 Al 0.000 0.112 0.750 (multiplicity 4)
3 Ag 0.000 0.452 0.250 (multiplicity 4)
4 Pd 0.000 0.316 0.750 (multiplicity 4)
5 Pd 0.201 0.000 0.000 (multiplicity 8)

***

[6]
A relaxed structure of Ac2Al3AgPd4, computed with PBE.

Results
Calculated volume: 21.31 Å³/atom
Calculated formation energy: -0.7461 eV per atom
Total energy: -50.5 eV per cell
Total magnetization: 0.0 μB/f.u.

abc: 4.490 4.490 10.572
angles: 90.00 90.00 90.00
Space group P-4m2 (No. 115)
One atom of each set of equivalent atoms:
1 Ac 0.000 0.500 0.249 (multiplicity 2)
2 Al 0.000 0.500 0.888 (multiplicity 2)
3 Al 0.500 0.500 0.500 (multiplicity 1)
4 Ag 0.000 0.000 0.500 (multiplicity 1)
5 Pd 0.000 0.000 0.000 (multiplicity 1)
6 Pd 0.000 0.500 0.649 (multiplicity 2)
7 Pd 0.500 0.500 0.000 (multiplicity 1)

***

[7]
A relaxed structure of Ac2AlAg2Pd4, computed with PBE.

Results
Calculated volume: 21.76 Å³/atom
Calculated formation energy: -0.5922 eV per atom
Total energy: -87.5 eV per cell
Total magnetization: 0.0 μB/f.u.

abc: 6.661 6.661 8.827
angles: 90.00 90.00 90.00
Space group I4/mmm (No. 139)
One atom of each set of equivalent atoms:
1 Ac 0.000 0.500 0.250 (multiplicity 4)
2 Al 0.000 0.000 0.000 (multiplicity 2)
3 Ag 0.000 0.000 0.296 (multiplicity 4)
4 Pd 0.232 0.232 0.500 (multiplicity 8)

***

[8]
A relaxed structure of AcAlAgPd2, computed with PBE.

Results
Calculated volume: 21.80 Å³/atom
Calculated formation energy: -0.5452 eV per atom
Total energy: -95.3 eV per cell
Total magnetization: 0.0 μB/f.u.

abc: 5.596 13.274 5.870
angles: 90.00 90.00 90.00
Space group Cmme (No. 67)
One atom of each set of equivalent atoms:
1 Ac 0.000 0.250 0.217 (multiplicity 4)
2 Al 0.250 0.000 0.500 (multiplicity 4)
3 Ag 0.000 0.000 0.000 (multiplicity 4)
4 Pd 0.000 0.144 0.670 (multiplicity 8)